(1)
Here is a geometry-optimized Pm4Si3Hg structure from Alexandria. Energies are from PBE-GGA.

Summary:
DOS at the Fermi energy (states/eV per cell): 6.9
Space group: No. 25
V (Å³/atom): 25.086

```
Pm4Si3Hg
1.0
4.037 0.000 0.000
0.000 4.442 0.000
0.000 0.000 11.192
Pm Si Hg
4 3 1
Cartesian
0.000 0.000 0.000 Pm
0.000 2.221 5.429 Pm
2.018 0.000 7.882 Pm
2.018 2.221 2.412 Pm
0.000 0.000 3.133 Si
2.018 0.000 4.716 Si
2.018 2.221 10.544 Si
0.000 2.221 8.702 Hg
```



(2)
Here is a geometry-optimized PmSi4Hg structure from Alexandria. Energies are from PBE-GGA.

Summary:
DOS at the Fermi energy (states/eV per cell): 0.7
Space group: No. 216
V (Å³/atom): 18.479

```
PmSi4Hg
1.0
0.000 3.813 3.813
3.813 0.000 3.813
3.813 3.813 0.000
Pm Si Hg
1 4 1
Cartesian
0.000 0.000 0.000 Pm
2.864 2.864 2.864 Si
4.762 4.762 2.864 Si
4.762 2.864 4.762 Si
2.864 4.762 4.762 Si
5.720 5.720 5.720 Hg
```



(3)
Here is a geometry-optimized PmSi2Hg structure from Alexandria. Energies are from PBE-GGA.

Summary:
DOS at the Fermi energy (states/eV per cell): 1.0
Space group: No. 123
ΔE to the lowest computed polymorph (eV per atom): 0.0000
V (Å³/atom): 20.855

```
PmSi2Hg
1.0
4.486 0.000 0.000
0.000 4.486 0.000
0.000 0.000 4.146
Pm Si Hg
1 2 1
Cartesian
0.000 0.000 0.000 Pm
0.000 2.243 2.073 Si
2.243 0.000 2.073 Si
2.243 2.243 0.000 Hg
```



What are the formation energy without anion corrections values for these records? In order: -0.645 -0.083 -0.192 eV/atom.
What are the final energy values for these records? In order: -5.09 -4.54 -4.17 eV per atom.
What are the total moment values for these records? In order: 0.16 0.00 0.00 Bohr magnetons per cell.